[1]
Entry from the Alexandria database: a relaxed structure of Pu6BiI8 (GGA-PBE).

Values from the calculation:
- total energy (eV per formula unit) = -114.76
- M_tot (μB/f.u.) = 36.567
- DOS(E_F) (states/eV/f.u.) = 70.9

Lattice parameters (Å, degrees): 7.6109 7.6109 34.3963 90.00 90.00 120.00
Space group R-3 (No. 148, hexagonal axes)
Inequivalent atoms, fractional coordinates:
Pu 0.0000 0.3333 0.1109 (multiplicity 18)
Bi 0.0000 0.0000 0.5000 (multiplicity 3)
I 0.0000 0.0000 0.1667 (multiplicity 6)
I 0.0000 0.3320 0.6112 (multiplicity 18)


[2]
Entry from the Alexandria database: a relaxed structure of PuBiI (GGA-PBE).

Values from the calculation:
- M_tot (μB/f.u.) = 5.516
- DOS(E_F) (states/eV/f.u.) = 11.4
- energy relative to the lowest polymorph listed for this composition (meV/atom) = 0

Lattice parameters (Å, degrees): 3.653 3.653 15.649 90.00 90.00 90.00
Space group I4mm (No. 107)
Inequivalent atoms, fractional coordinates:
Pu 0.000 0.000 0.000 (multiplicity 2)
Bi 0.000 0.000 0.355 (multiplicity 2)
I 0.000 0.000 0.625 (multiplicity 2)


[3]
Entry from the Alexandria database: a relaxed structure of PuBiI (GGA-PBE).

Values from the calculation:
- M_tot (μB/f.u.) = 5.245
- DOS(E_F) (states/eV/f.u.) = 11.5
- energy relative to the lowest polymorph listed for this composition (meV/atom) = 203

Lattice parameters (Å, degrees): 5.4062 5.4062 3.7344 90.00 90.00 120.00
Space group P-6m2 (No. 187)
Inequivalent atoms, fractional coordinates:
Pu 0.0000 0.0000 0.0000 (multiplicity 1)
Bi 0.6667 0.3333 0.5000 (multiplicity 1)
I 0.3333 0.6667 0.0000 (multiplicity 1)


[4]
Entry from the Alexandria database: a relaxed structure of Pu4BiI5 (GGA-PBE).

Values from the calculation:
- total energy (eV per formula unit) = -77.02
- M_tot (μB/f.u.) = 0.253
- DOS(E_F) (states/eV/f.u.) = 54.0

Lattice parameters (Å, degrees): 19.467 4.410 9.127 90.00 101.42 90.00
Space group C2/m (No. 12)
Inequivalent atoms, fractional coordinates:
Pu 0.003 0.000 0.248 (multiplicity 4)
Pu 0.166 0.500 0.069 (multiplicity 4)
Bi 0.000 0.500 0.000 (multiplicity 2)
I 0.000 0.500 0.500 (multiplicity 2)
I 0.168 0.000 0.816 (multiplicity 4)
I 0.170 0.000 0.325 (multiplicity 4)


[5]
Entry from the Alexandria database: a relaxed structure of Rb2BiI6 (GGA-PBE).

Values from the calculation:
- M_tot (μB/f.u.) = 0.971
- DOS(E_F) (states/eV/f.u.) = 20.5
- energy relative to the lowest polymorph listed for this composition (meV/atom) = 59

Lattice parameters (Å, degrees): 8.197 8.197 15.884 90.00 90.00 90.00
Space group P4_2/mnm (No. 136)
Inequivalent atoms, fractional coordinates:
Rb 0.000 0.000 0.169 (multiplicity 4)
Bi 0.000 0.000 0.500 (multiplicity 2)
I 0.185 0.185 0.360 (multiplicity 8)
I 0.233 0.233 0.000 (multiplicity 4)


[6]
Entry from the Alexandria database: a relaxed structure of Rb3BiI6 (GGA-PBE).

Values from the calculation:
- M_tot (μB/f.u.) = 0.000
- DOS(E_F) (states/eV/f.u.) = 0.0
- energy relative to the lowest polymorph listed for this composition (meV/atom) = 0

Lattice parameters (Å, degrees): 8.774 9.429 14.912 90.00 123.58 90.00
Space group P2_1/c (No. 14)
Inequivalent atoms, fractional coordinates:
Rb 0.000 0.000 0.000 (multiplicity 2)
Rb 0.206 0.083 0.739 (multiplicity 4)
Bi 0.500 0.000 0.500 (multiplicity 2)
I 0.159 0.177 0.444 (multiplicity 4)
I 0.258 0.726 0.420 (multiplicity 4)
I 0.409 0.060 0.270 (multiplicity 4)


[7]
Entry from the Alexandria database: a relaxed structure of Rb4BiI2 (GGA-PBE).

Values from the calculation:
- total energy (eV per formula unit) = -16.24
- M_tot (μB/f.u.) = 0.920
- DOS(E_F) (states/eV/f.u.) = 3.2

Lattice parameters (Å, degrees): 6.909 6.909 19.551 90.00 90.00 90.00
Space group I4/mmm (No. 139)
Inequivalent atoms, fractional coordinates:
Rb 0.000 0.000 0.184 (multiplicity 4)
Rb 0.000 0.500 0.000 (multiplicity 4)
Bi 0.000 0.000 0.000 (multiplicity 2)
I 0.000 0.000 0.366 (multiplicity 4)


[8]
Entry from the Alexandria database: a relaxed structure of RbBiI3 (GGA-PBE).

Values from the calculation:
- M_tot (μB/f.u.) = 0.000
- DOS(E_F) (states/eV/f.u.) = 2.6
- energy relative to the lowest polymorph listed for this composition (meV/atom) = 0

Lattice parameters (Å, degrees): 6.320 6.320 6.320 90.00 90.00 90.00
Space group Pm-3m (No. 221)
Inequivalent atoms, fractional coordinates:
Rb 0.000 0.000 0.000 (multiplicity 1)
Bi 0.500 0.500 0.500 (multiplicity 1)
I 0.000 0.500 0.500 (multiplicity 3)